! PBE-GGA In12Bi6Pb, relaxed; values from VASP
! **Crystal system**: trigonal
! **E**: -58.657 eV/cell
! **E_form**: 63 meV/atom
! **SG**: No. 148
&SYSTEM
  ibrav = 0, nat = 19, ntyp = 3
/
ATOMIC_SPECIES
Pb 207.20 Pb.upf
In 114.82 In.upf
Bi 208.98 Bi.upf
CELL_PARAMETERS angstrom
-6.598 -3.156 -4.573
6.930 -3.614 -3.650
-0.655 -4.044 7.591
ATOMIC_POSITIONS angstrom
Pb 0.000 0.000 0.000
In -5.292 -7.084 0.117
In 2.610 -5.912 -1.719
In -2.933 -4.901 1.087
In -3.105 -3.279 -4.332
In 4.969 -3.729 -0.749
In 2.434 -5.082 1.435
In -0.383 -6.084 2.750
In 1.865 -6.994 -5.080
In -2.187 -3.819 4.449
In 0.060 -4.730 -3.381
In -2.757 -5.732 -2.066
In 2.782 -7.535 3.701
Bi 1.652 -2.819 -1.017
Bi -0.216 -2.926 1.761
Bi -1.688 -2.707 -1.238
Bi -0.107 -7.888 -2.393
Bi 1.365 -8.107 0.607
Bi -1.974 -7.994 0.385